# 1
Hf9Tl2Pb after structural relaxation. Source: the Alexandria database, functional PBE.

Results
- Total moment: 0.0 μB per formula unit
- Density of states at the Fermi level: 0.9669 states/eV/atom
- Uncorrected energy: -8.155 eV per atom
- Formation energy from the elements: 13.4 meV per atom

Structure (POSCAR):
```
Hf9Tl2Pb
1.0
4.449 0.000 0.000
0.000 4.449 0.000
0.000 0.000 13.380
Hf Tl Pb
9 2 1
direct
0.000 0.000 0.000
0.000 0.000 0.335
0.000 0.000 0.665
0.000 0.500 0.168
0.000 0.500 0.500
0.000 0.500 0.832
0.500 0.000 0.168
0.500 0.000 0.500
0.500 0.000 0.832
0.500 0.500 0.334
0.500 0.500 0.666
0.500 0.500 0.000
```

# 2
Hf2Tl2Pb after structural relaxation. Source: the Alexandria database, functional PBE.

Results
- Energy above the most stable polymorph in this dataset: 0.0844 eV/atom
- Total moment: 0.0 μB per formula unit
- Density of states at the Fermi level: 0.8148 states/eV/atom
- Uncorrected energy: -5.395 eV per atom
- Formation energy from the elements: 274.9 meV per atom

Structure (POSCAR):
```
Hf2Tl2Pb
1.0
8.963 0.000 0.000
0.000 8.963 0.000
0.000 0.000 3.187
Hf Tl Pb
4 4 2
direct
0.124 0.376 0.000
0.376 0.876 0.000
0.624 0.124 0.000
0.876 0.624 0.000
0.171 0.671 0.500
0.329 0.171 0.500
0.671 0.829 0.500
0.829 0.329 0.500
0.000 0.000 0.500
0.500 0.500 0.500
```

# 3
HfTl3Pb after structural relaxation. Source: the Alexandria database, functional PBE.

Results
- Energy above the most stable polymorph in this dataset: 0.6310 eV/atom
- Total moment: 0.9 μB per formula unit
- Density of states at the Fermi level: 1.0402 states/eV/atom
- Uncorrected energy: -2.994 eV per atom
- Formation energy from the elements: 1158.0 meV per atom

Structure (POSCAR):
```
HfTl3Pb
1.0
5.791 0.000 0.000
0.000 5.791 0.000
0.000 0.000 5.791
Hf Tl Pb
1 3 1
direct
0.000 0.000 0.000
0.000 0.500 0.500
0.500 0.000 0.500
0.500 0.500 0.000
0.500 0.500 0.500
```

# 4
Hf2Tl2Pb after structural relaxation. Source: the Alexandria database, functional PBE.

Results
- Energy above the most stable polymorph in this dataset: 0.0000 eV/atom
- Total moment: 0.0 μB per formula unit
- Density of states at the Fermi level: 0.3583 states/eV/atom
- Uncorrected energy: -5.479 eV per atom
- Formation energy from the elements: 190.6 meV per atom

Structure (POSCAR):
```
Hf2Tl2Pb
1.0
7.567 0.000 0.000
0.000 7.567 0.000
0.000 0.000 4.430
Hf Tl Pb
4 4 2
direct
0.146 0.354 0.000
0.354 0.854 0.000
0.646 0.146 0.000
0.854 0.646 0.000
0.156 0.656 0.500
0.344 0.156 0.500
0.656 0.844 0.500
0.844 0.344 0.500
0.000 0.000 0.000
0.500 0.500 0.000
```